Entry one
# Ga2HgSe

Crystalline Ga2HgSe at its relaxed geometry (PBE, Alexandria).

abc: 7.2330 7.2330 7.2330
angles: 90.00 90.00 90.00
Last column: nearest neighbours and their distance in Å.
Space group Fm-3m (No. 225)
Symmetry-distinct sites (fractional):
Ga 0.2500 0.2500 0.2500 [8 per cell]  4 Hg 3.13, 4 Se 3.13
Hg 0.0000 0.0000 0.0000 [4 per cell]  8 Ga 3.13
Se 0.0000 0.0000 0.5000 [4 per cell]  8 Ga 3.13

---

Entry two
# Ga2HgSe

Crystalline Ga2HgSe at its relaxed geometry (PBE, Alexandria).

abc: 6.4671 6.4671 10.9368
angles: 90.00 90.00 90.00
Last column: nearest neighbours and their distance in Å.
Space group I-42d (No. 122)
Symmetry-distinct sites (fractional):
Ga 0.2422 0.2500 0.1250 [8 per cell]  2 Se 2.63, 2 Hg 2.69
Hg 0.0000 0.0000 0.5000 [4 per cell]  4 Ga 2.69
Se 0.0000 0.0000 0.0000 [4 per cell]  4 Ga 2.63

---

Entry three
# Ga2HgSe

Crystalline Ga2HgSe at its relaxed geometry (PBE, Alexandria).

abc: 3.7919 3.7919 22.5368
angles: 90.00 90.00 120.00
Last column: nearest neighbours and their distance in Å.
Space group R3m (No. 160, hexagonal axes)
Symmetry-distinct sites (fractional):
Ga 0.0000 0.0000 0.0000 [3 per cell]  3 Se 2.79, 3 Hg 3.05
Ga 0.0000 0.0000 0.1835 [3 per cell]  3 Se 2.74, 3 Hg 2.98
Hg 0.0000 0.0000 0.7607 [3 per cell]  6 Ga 2.98-3.05
Se 0.0000 0.0000 0.5899 [3 per cell]  6 Ga 2.74-2.79

---

Entry four
# Ga2HgSe

Crystalline Ga2HgSe at its relaxed geometry (PBE, Alexandria).

abc: 3.8443 3.8443 21.5207
angles: 90.00 90.00 120.00
Last column: nearest neighbours and their distance in Å.
Space group R-3m (No. 166, hexagonal axes)
Symmetry-distinct sites (fractional):
Ga 0.0000 0.0000 0.2434 [6 per cell]  3 Se 2.77, 3 Hg 2.94
Hg 0.0000 0.0000 0.0000 [3 per cell]  6 Ga 2.94
Se 0.0000 0.0000 0.5000 [3 per cell]  6 Ga 2.77

---

Looking at the structures above, entry four is most stable, and the difference to the next one is 32 meV per atom.